Entry from Alexandria via LeMat-Bulk: crystalline HoNiAg2F6 at its relaxed geometry (PBE with a Hubbard U).

```
data_HoNiAg2F6
_cell_length_a 5.479
_cell_length_b 5.658
_cell_length_c 5.717
_cell_angle_alpha 69.60
_cell_angle_beta 88.13
_cell_angle_gamma 76.09
_space_group_name_H-M_alt 'P -1'
_space_group_IT_number 2
_space_group_name_Hall '-P 1'
loop_
_atom_site_label
_atom_site_fract_x
_atom_site_fract_y
_atom_site_fract_z
Ho1 0.000 0.000 0.000
Ni1 0.500 0.000 0.500
Ag1 0.374 0.501 0.707
F1 0.190 0.151 0.652
F2 0.224 0.617 0.042
F3 0.303 0.046 0.202
```

Properties
* total energy: -4.660 eV/atom